Record 1
The following is a PBE-GGA calculation of K2ScBTe after structural relaxation, from Alexandria via LeMat-Bulk.

Unit cell a=6.535 b=6.535 c=5.466 alpha=90.00 beta=90.00 gamma=90.00
Space group P4/mmm (No. 123)
Unique sites:
1 K 0.000 0.500 0.000 [2 per cell]
2 Sc 0.000 0.000 0.500 [1 per cell]
3 B 0.500 0.500 0.500 [1 per cell]
4 Te 0.000 0.000 0.000 [1 per cell]

Results
formation energy from raw total energies: 0.806 eV per atom
magnetic moment: 0.401 μB/atom

---

Record 2
The following is a PBE-GGA calculation of KSc2BW after structural relaxation, from Alexandria via LeMat-Bulk.

Unit cell a=4.615 b=4.615 c=4.630 alpha=90.00 beta=90.00 gamma=90.00
Space group P4/mmm (No. 123)
Unique sites:
1 K 0.000 0.000 0.000 [1 per cell]
2 Sc 0.000 0.500 0.000 [2 per cell]
3 B 0.500 0.500 0.500 [1 per cell]
4 W 0.000 0.000 0.500 [1 per cell]

Results
E_form: 2.88 eV per atom
magnetic moment: 0.047 μB/atom

---

Record 3
The following is a PBE-GGA calculation of K2BSe5 after structural relaxation, from Alexandria via LeMat-Bulk.

Unit cell a=6.299 b=6.351 c=7.370 alpha=107.56 beta=113.70 gamma=90.77
Space group P1 (No. 1)
Unique sites:
1 K 0.000 0.000 0.000 [1 per cell]
2 K 0.418 0.447 0.866 [1 per cell]
3 B 0.749 0.365 0.536 [1 per cell]
4 Se 0.049 0.876 0.497 [1 per cell]
5 Se 0.436 0.445 0.361 [1 per cell]
6 Se 0.695 0.039 0.336 [1 per cell]
7 Se 0.906 0.448 0.843 [1 per cell]
8 Se 0.909 0.478 0.365 [1 per cell]

Results
formation energy from raw total energies: -0.490 eV per atom
magnetic moment: 0.000 μB/atom

---

Record 4
The following is a PBE-GGA calculation of K3BSe after structural relaxation, from Alexandria via LeMat-Bulk.

Unit cell a=6.242 b=6.242 c=6.242 alpha=90.00 beta=90.00 gamma=90.00
Space group Pm-3m (No. 221)
Unique sites:
1 K 0.000 0.000 0.500 [3 per cell]
2 B 0.500 0.500 0.500 [1 per cell]
3 Se 0.000 0.000 0.000 [1 per cell]

Results
formation energy from raw total energies: 0.367 eV per atom
magnetic moment: 0.400 μB/atom

---

Record 5
The following is a PBE-GGA calculation of K2B2Se5 after structural relaxation, from Alexandria via LeMat-Bulk.

Unit cell a=10.178 b=5.581 c=10.293 alpha=90.00 beta=102.73 gamma=90.00
Space group C2/m (No. 12)
Unique sites:
1 K 0.075 0.000 0.287 [4 per cell]
2 B 0.152 0.500 0.879 [4 per cell]
3 Se 0.000 0.500 0.000 [2 per cell]
4 Se 0.095 0.500 0.691 [4 per cell]
5 Se 0.170 0.000 0.001 [4 per cell]

Results
formation energy from raw total energies: -0.254 eV per atom
magnetic moment: 0.000 μB/atom

---

Record 6
The following is a PBE-GGA calculation of KBSe2 after structural relaxation, from Alexandria via LeMat-Bulk.

Unit cell a=7.182 b=7.182 c=5.546 alpha=90.00 beta=90.00 gamma=90.00
Space group P4_2/m (No. 84)
Unique sites:
1 K 0.000 0.500 0.000 [2 per cell]
2 B 0.000 0.000 0.250 [2 per cell]
3 Se 0.087 0.199 0.500 [4 per cell]

Results
formation energy from raw total energies: -0.582 eV per atom
magnetic moment: 0.000 μB/atom

---

Record 7
The following is a PBE-GGA calculation of KBSe2 after structural relaxation, from Alexandria via LeMat-Bulk.

Unit cell a=6.711 b=6.711 c=8.080 alpha=90.00 beta=90.00 gamma=90.00
Space group I-42d (No. 122)
Unique sites:
1 K 0.000 0.000 0.000 [4 per cell]
2 B 0.000 0.000 0.500 [4 per cell]
3 Se 0.125 0.250 0.625 [8 per cell]

Results
formation energy from raw total energies: -0.500 eV per atom
magnetic moment: 0.000 μB/atom

---

Record 8
The following is a PBE-GGA calculation of K2BSe4 after structural relaxation, from Alexandria via LeMat-Bulk.

Unit cell a=5.057 b=5.057 c=15.360 alpha=90.00 beta=90.00 gamma=90.00
Space group I4/mmm (No. 139)
Unique sites:
1 K 0.000 0.000 0.144 [4 per cell]
2 B 0.000 0.000 0.500 [2 per cell]
3 Se 0.000 0.000 0.370 [4 per cell]
4 Se 0.000 0.500 0.000 [4 per cell]

Results
formation energy from raw total energies: -0.133 eV per atom
magnetic moment: 0.000 μB/atom

---

Record 9
The following is a PBE-GGA calculation of K2BSe after structural relaxation, from Alexandria via LeMat-Bulk.

Unit cell a=5.119 b=5.119 c=20.327 alpha=90.00 beta=90.00 gamma=90.00
Space group I-42d (No. 122)
Unique sites:
1 K 0.240 0.250 0.125 [8 per cell]
2 B 0.000 0.000 0.000 [4 per cell]
3 Se 0.000 0.000 0.500 [4 per cell]

Results
formation energy from raw total energies: 0.672 eV per atom
magnetic moment: 0.250 μB/atom

---

Record 10
The following is a PBE-GGA calculation of KBSe2 after structural relaxation, from Alexandria via LeMat-Bulk.

Unit cell a=8.126 b=10.244 c=6.222 alpha=90.00 beta=90.00 gamma=90.00
Space group Cmcm (No. 63)
Unique sites:
1 K 0.000 0.199 0.250 [4 per cell]
2 B 0.000 0.500 0.000 [4 per cell]
3 Se 0.183 0.497 0.250 [8 per cell]

Results
formation energy from raw total energies: -0.096 eV per atom
magnetic moment: 0.000 μB/atom

---

Record 11
The following is a PBE-GGA calculation of KB3Se after structural relaxation, from Alexandria via LeMat-Bulk.

Unit cell a=4.405 b=4.405 c=4.405 alpha=90.00 beta=90.00 gamma=90.00
Space group Pm-3m (No. 221)
Unique sites:
1 K 0.000 0.000 0.000 [1 per cell]
2 B 0.000 0.500 0.500 [3 per cell]
3 Se 0.500 0.500 0.500 [1 per cell]

Results
formation energy from raw total energies: 1.950 eV per atom
magnetic moment: 0.000 μB/atom

---

Record 12
The following is a PBE-GGA calculation of KBSe after structural relaxation, from Alexandria via LeMat-Bulk.

Unit cell a=4.934 b=5.567 c=6.836 alpha=77.11 beta=80.43 gamma=76.45
Space group P-1 (No. 2)
Unique sites:
1 K 0.223 0.195 0.252 [2 per cell]
2 B 0.411 0.423 0.582 [2 per cell]
3 Se 0.169 0.231 0.750 [2 per cell]

Results
formation energy from raw total energies: -0.269 eV per atom
magnetic moment: 0.099 μB/atom

---

Record 13
The following is a PBE-GGA calculation of K3B2Se4 after structural relaxation, from Alexandria via LeMat-Bulk.

Unit cell a=14.855 b=11.604 c=6.569 alpha=90.00 beta=90.09 gamma=90.00
Space group C2/c (No. 15)
Unique sites:
1 K 0.000 0.179 0.250 [4 per cell]
2 K 0.180 0.326 0.751 [8 per cell]
3 B 0.217 0.055 0.749 [8 per cell]
4 Se 0.147 0.000 0.499 [8 per cell]
5 Se 0.161 0.385 0.251 [8 per cell]

Results
formation energy from raw total energies: -0.572 eV per atom
magnetic moment: 0.000 μB/atom

---

Record 14
The following is a PBE-GGA calculation of KB3Se after structural relaxation, from Alexandria via LeMat-Bulk.

Unit cell a=5.035 b=5.035 c=5.035 alpha=90.00 beta=90.00 gamma=90.00
Space group Pm-3m (No. 221)
Unique sites:
1 K 0.000 0.000 0.000 [1 per cell]
2 B 0.000 0.000 0.500 [3 per cell]
3 Se 0.500 0.500 0.500 [1 per cell]

Results
formation energy from raw total energies: 3.200 eV per atom
magnetic moment: 0.000 μB/atom